{
  "formula": "CaNbN2",
  "functional": "GGA-PBE",
  "state": "relaxed",
  "dos_at_fermi_per_ev_cell": 4.2,
  "raw_formation_energy_ev_per_atom": -0.915,
  "e_tot_ev_per_atom": -8.095,
  "lattice": [[3.522, 0.000, 0.000], [0.000, 7.470, 0.000], [0.000, 0.000, 4.907]],
  "species": ["Ca", "Ca", "Nb", "Nb", "N", "N", "N", "N"],
  "frac_coords": [[0.000, 0.137, 0.000], [0.500, 0.863, 0.500], [0.000, 0.613, 0.020], [0.500, 0.387, 0.520], [0.000, 0.401, 0.289], [0.000, 0.843, 0.186], [0.500, 0.157, 0.686], [0.500, 0.599, 0.789]]
}